# Co3Mo | Alexandria | GGA-PBEsol | relaxed
data_Co3Mo
_chemical_formula_sum 'Co3 Mo1'
_cell_length_a 3.537
_cell_length_b 3.537
_cell_length_c 3.537
_cell_angle_alpha 90.00
_cell_angle_beta 90.00
_cell_angle_gamma 90.00
_symmetry_space_group_name_H-M 'P m -3 m'
_symmetry_Int_Tables_number 221
_symmetry_space_group_name_Hall '-P 4 2 3'
loop_
_atom_site_label
_atom_site_fract_x
_atom_site_fract_y
_atom_site_fract_z
Co1 0.000 0.000 0.500
Mo1 0.500 0.500 0.500
# ΔE_f   -19 kJ/mol of formula units
# Density of states at the Fermi level   3.809 states/eV/f.u.
# Total moment   0.074 μB/atom
# Electronic total energy   -8.795 eV per atom
# Calculated density   10.234 g/cm3

=====

# Li2MoRu | Alexandria | GGA-PBEsol | relaxed
data_Li2MoRu
_chemical_formula_sum 'Li4 Mo2 Ru2'
_cell_length_a 2.908
_cell_length_b 4.420
_cell_length_c 9.373
_cell_angle_alpha 90.00
_cell_angle_beta 90.00
_cell_angle_gamma 90.00
_symmetry_space_group_name_H-M 'C m m 2'
_symmetry_Int_Tables_number 35
loop_
_symmetry_equiv_pos_as_xyz
'x,y,z'
'-x,-y,z'
'-x,y,z'
'x,-y,z'
'x+1/2,y+1/2,z'
'-x+1/2,-y+1/2,z'
'-x+1/2,y+1/2,z'
'x+1/2,-y+1/2,z'
loop_
_atom_site_label
_atom_site_fract_x
_atom_site_fract_y
_atom_site_fract_z
Li1 0.000 0.000 0.000
Li2 0.000 0.500 0.284
Mo1 0.000 0.500 0.743
Ru1 0.000 0.000 0.515
# Energy above the most stable polymorph in this dataset   0 meV/atom
# ΔE_f   91 kJ/mol of formula units
# Density of states at the Fermi level   3.148 states/eV/f.u.
# Total moment   0.001 μB/atom
# Electronic total energy   -6.232 eV per atom
# Calculated density   5.813 g/cm3

=====

# SiOsW2 | Alexandria | GGA-PBEsol | relaxed
data_SiOsW2
_chemical_formula_sum 'Si2 Os2 W4'
_cell_length_a 3.915
_cell_length_b 3.915
_cell_length_c 7.575
_cell_angle_alpha 90.00
_cell_angle_beta 90.00
_cell_angle_gamma 90.00
_symmetry_space_group_name_H-M 'I -4 m 2'
_symmetry_Int_Tables_number 119
_symmetry_space_group_name_Hall 'I -4 -2'
loop_
_atom_site_label
_atom_site_fract_x
_atom_site_fract_y
_atom_site_fract_z
Si1 0.000 0.000 0.000
Os1 0.000 0.500 0.750
W1 0.000 0.000 0.500
W2 0.000 0.500 0.250
# Density of states at the Fermi level   3.093 states/eV/f.u.
# Total moment   0.000 μB/atom
# Electronic total energy   -11.231 eV per atom
# Calculated density   16.765 g/cm3
# Uncorrected formation energy   163.9 meV/atom

=====

# MgIrPtC2 | Alexandria | GGA-PBEsol | relaxed
data_MgIrPtC2
_chemical_formula_sum 'Mg1 Ir1 Pt1 C2'
_cell_length_a 3.929
_cell_length_b 3.929
_cell_length_c 4.629
_cell_angle_alpha 90.00
_cell_angle_beta 90.00
_cell_angle_gamma 90.00
_symmetry_space_group_name_H-M 'P 4/m m m'
_symmetry_Int_Tables_number 123
_symmetry_space_group_name_Hall '-P 4 2'
loop_
_atom_site_label
_atom_site_fract_x
_atom_site_fract_y
_atom_site_fract_z
Mg1 0.000 0.000 0.000
Ir1 0.500 0.500 0.500
Pt1 0.000 0.000 0.500
C1 0.000 0.500 0.000
# ΔE_f   1341 kJ/mol of formula units
# Density of states at the Fermi level   6.085 states/eV/f.u.
# Total moment   0.000 μB/atom
# Electronic total energy   -4.779 eV per atom
# Calculated density   10.123 g/cm3